Crystalline PmDy2In3 at its relaxed geometry, computed with PBE.

a b c (Å): 3.7680 3.7680 11.4911
angles (deg): 90.00 90.00 90.00
Atoms (fractional coordinates):
Pm 0.0000 0.0000 0.0000
Dy 0.0000 0.0000 0.3372
Dy 0.0000 0.0000 0.6628
In 0.5000 0.5000 0.1749
In 0.5000 0.5000 0.5000
In 0.5000 0.5000 0.8251

=====

Crystalline Tl12Br3Cl5 at its relaxed geometry, computed with PBE.

a b c (Å): 16.2137 16.2137 16.2137
angles (deg): 109.47 109.47 109.47
Atoms (fractional coordinates):
Tl 0.0605 0.2321 0.1281
Tl 0.0605 0.3284 0.9324
Tl 0.0676 0.6281 0.3960
Tl 0.0676 0.9395 0.6716
Tl 0.1040 0.7321 0.6716
Tl 0.1040 0.8719 0.4324
Tl 0.1281 0.0605 0.2321
Tl 0.1281 0.5676 0.8960
Tl 0.1716 0.2321 0.6040
Tl 0.1716 0.4395 0.5676
Tl 0.2321 0.1281 0.0605
Tl 0.2321 0.6040 0.1716
Tl 0.2679 0.3284 0.8960
Tl 0.2679 0.4395 0.3719
Tl 0.3284 0.8960 0.2679
Tl 0.3284 0.9324 0.0605
Tl 0.3719 0.2679 0.4395
Tl 0.3719 0.6040 0.9324
Tl 0.3960 0.0676 0.6281
Tl 0.3960 0.8284 0.7679
Tl 0.4324 0.1040 0.8719
Tl 0.4324 0.8284 0.5605
Tl 0.4395 0.3719 0.2679
Tl 0.4395 0.5676 0.1716
Tl 0.5605 0.4324 0.8284
Tl 0.5605 0.6281 0.7321
Tl 0.5676 0.1716 0.4395
Tl 0.5676 0.8960 0.1281
Tl 0.6040 0.1716 0.2321
Tl 0.6040 0.9324 0.3719
Tl 0.6281 0.3960 0.0676
Tl 0.6281 0.7321 0.5605
Tl 0.6716 0.0676 0.9395
Tl 0.6716 0.1040 0.7321
Tl 0.7321 0.5605 0.6281
Tl 0.7321 0.6716 0.1040
Tl 0.7679 0.3960 0.8284
Tl 0.7679 0.8719 0.9395
Tl 0.8284 0.5605 0.4324
Tl 0.8284 0.7679 0.3960
Tl 0.8719 0.4324 0.1040
Tl 0.8719 0.9395 0.7679
Tl 0.8960 0.1281 0.5676
Tl 0.8960 0.2679 0.3284
Tl 0.9324 0.0605 0.3284
Tl 0.9324 0.3719 0.6040
Tl 0.9395 0.6716 0.0676
Tl 0.9395 0.7679 0.8719
Br 0.1250 0.2500 0.3750
Br 0.1250 0.3750 0.7500
Br 0.2500 0.3750 0.1250
Br 0.2500 0.8750 0.6250
Br 0.3750 0.1250 0.2500
Br 0.3750 0.7500 0.1250
Br 0.6250 0.2500 0.8750
Br 0.6250 0.8750 0.7500
Br 0.7500 0.1250 0.3750
Br 0.7500 0.6250 0.8750
Br 0.8750 0.6250 0.2500
Br 0.8750 0.7500 0.6250
Cl 0.0000 0.0000 0.0000
Cl 0.0000 0.0000 0.5000
Cl 0.0000 0.5000 0.0000
Cl 0.0000 0.5000 0.5000
Cl 0.1250 0.7500 0.8750
Cl 0.1250 0.8750 0.2500
Cl 0.2500 0.1250 0.8750
Cl 0.2500 0.6250 0.3750
Cl 0.3750 0.2500 0.6250
Cl 0.3750 0.6250 0.7500
Cl 0.5000 0.0000 0.0000
Cl 0.5000 0.0000 0.5000
Cl 0.5000 0.5000 0.0000
Cl 0.5000 0.5000 0.5000
Cl 0.6250 0.3750 0.2500
Cl 0.6250 0.7500 0.3750
Cl 0.7500 0.3750 0.6250
Cl 0.7500 0.8750 0.1250
Cl 0.8750 0.1250 0.7500
Cl 0.8750 0.2500 0.1250

=====

Crystalline NaLa2Ru2 at its relaxed geometry, computed with PBE.

a b c (Å): 8.1399 8.1399 3.5916
angles (deg): 90.00 90.00 90.00
Atoms (fractional coordinates):
Na 0.0000 0.0000 0.0000
Na 0.5000 0.5000 0.0000
La 0.1569 0.3431 0.5000
La 0.3431 0.8431 0.5000
La 0.6569 0.1569 0.5000
La 0.8431 0.6569 0.5000
Ru 0.1304 0.6304 0.0000
Ru 0.3696 0.1304 0.0000
Ru 0.6304 0.8696 0.0000
Ru 0.8696 0.3696 0.0000

=====

Crystalline Tm4TlCd at its relaxed geometry, computed with PBE.

a b c (Å): 3.5225 3.5225 13.3068
angles (deg): 90.00 90.00 90.00
Atoms (fractional coordinates):
Tm 0.0000 0.0000 0.1551
Tm 0.0000 0.0000 0.8449
Tm 0.5000 0.5000 0.3378
Tm 0.5000 0.5000 0.6622
Tl 0.0000 0.0000 0.5000
Cd 0.5000 0.5000 0.0000

=====

Crystalline LiBiSe2N at its relaxed geometry, computed with PBE.

a b c (Å): 5.0168 5.0168 3.9303
angles (deg): 90.00 90.00 90.00
Atoms (fractional coordinates):
Li 0.0000 0.0000 0.0000
Bi 0.5000 0.5000 0.5000
Se 0.0000 0.5000 0.0000
Se 0.5000 0.0000 0.0000
N 0.0000 0.0000 0.5000

=====

Crystalline Li2Sn3P4O14 at its relaxed geometry, computed with PBE.

a b c (Å): 7.5695 9.3409 11.0574
angles (deg): 90.00 109.43 90.00
Atoms (fractional coordinates):
Li 0.2185 0.0034 0.2900
Li 0.2185 0.4966 0.7900
Li 0.7815 0.5034 0.2100
Li 0.7815 0.9966 0.7100
Sn 0.0000 0.0000 0.5000
Sn 0.0000 0.5000 0.0000
Sn 0.2106 0.6411 0.4982
Sn 0.2106 0.8589 0.9982
Sn 0.7894 0.1411 0.0018
Sn 0.7894 0.3589 0.5018
P 0.1208 0.1737 0.8199
P 0.1208 0.3263 0.3199
P 0.4130 0.5104 0.2807
P 0.4130 0.9896 0.7807
P 0.5870 0.0104 0.2193
P 0.5870 0.4896 0.7193
P 0.8792 0.6737 0.6801
P 0.8792 0.8263 0.1801
O 0.0302 0.6372 0.8095
O 0.0302 0.8628 0.3095
O 0.0941 0.0724 0.9240
O 0.0941 0.4276 0.4240
O 0.1269 0.1686 0.3559
O 0.1269 0.3314 0.8559
O 0.3201 0.5491 0.1405
O 0.3201 0.9509 0.6405
O 0.3249 0.1425 0.8081
O 0.3249 0.3575 0.3081
O 0.3766 0.5260 0.6864
O 0.3766 0.9740 0.1864
O 0.3844 0.6179 0.3776
O 0.3844 0.8821 0.8776
O 0.6156 0.1179 0.1224
O 0.6156 0.3821 0.6224
O 0.6234 0.0260 0.8136
O 0.6234 0.4740 0.3136
O 0.6751 0.6425 0.6919
O 0.6751 0.8575 0.1919
O 0.6799 0.0491 0.3595
O 0.6799 0.4509 0.8595
O 0.8731 0.6686 0.1441
O 0.8731 0.8314 0.6441
O 0.9059 0.5724 0.5760
O 0.9059 0.9276 0.0760
O 0.9698 0.1372 0.6905
O 0.9698 0.3628 0.1905

=====

Crystalline ZrAs2Ir at its relaxed geometry, computed with PBE.

a b c (Å): 3.3151 3.3151 6.6877
angles (deg): 90.00 90.00 104.83
Atoms (fractional coordinates):
Zr 0.0000 0.0000 0.0000
As 0.5000 0.5000 0.2737
As 0.5000 0.5000 0.7263
Ir 0.0000 0.0000 0.5000

=====

Crystalline TbCeMnIn at its relaxed geometry, computed with PBE.

a b c (Å): 5.2476 5.2476 5.2476
angles (deg): 60.00 60.00 60.00
Atoms (fractional coordinates):
Tb 0.0000 0.0000 0.0000
Ce 0.5000 0.5000 0.5000
Mn 0.2500 0.2500 0.2500
In 0.7500 0.7500 0.7500

=====

Calculated total energy list, top to bottom, in eV per atom: -4.17 -2.65 -5.87 -3.73 -3.62 -6.65 -6.92 -5.64